VASP calculation (PBE) on crystalline RbGaSn2 at its relaxed geometry.

The structure belongs to space group R-3m (No. 166, hexagonal axes); the cell edges are 4.6146, 4.6146 and 22.4478 Å and the angles 90.00°, 90.00° and 120.00°. The asymmetric unit holds Rb at (0.0000, 0.0000, 0.0000), Ga at (0.0000, 0.0000, 0.5000) and Sn at (0.0000, 0.0000, 0.2144).

Its calculated volume is 34.498 A^3/atom. The crystal system is trigonal. For the energy, the calculation gives -3.06 eV/atom. For the magnetization, the calculation gives 0.0000 μB per atom. The value obtained for the formation energy is -56.0 meV/atom.